(1)
# SrMgCd2, relaxed, DFT PBE-GGA
data_SrMgCd2
_chemical_formula_sum 'Sr2 Mg2 Cd4'
_symmetry_space_group_name_H-M 'I m m 2'
_symmetry_Int_Tables_number 44
_symmetry_space_group_name_Hall 'I 2 -2'
_cell_length_a 4.304
_cell_length_b 5.378
_cell_length_c 9.804
_cell_angle_alpha 90.00
_cell_angle_beta 90.00
_cell_angle_gamma 90.00
loop_
_atom_site_label
_atom_site_type_symbol
_atom_site_fract_x
_atom_site_fract_y
_atom_site_fract_z
_atom_site_occupancy
Sr1 Sr 0.000 0.000 0.000 1
Mg1 Mg 0.000 0.500 0.222 1
Cd1 Cd 0.000 0.000 0.492 1
Cd2 Cd 0.000 0.500 0.769 1
# E: -1.4157 eV/atom
# energy relative to the elements: -13 kJ/mol of atoms

(2)
# Sr2MgCd, relaxed, DFT PBE-GGA
data_Sr2MgCd
_chemical_formula_sum 'Sr2 Mg1 Cd1'
_symmetry_space_group_name_H-M 'P m m 2'
_symmetry_Int_Tables_number 25
_symmetry_space_group_name_Hall 'P 2 -2'
_cell_length_a 4.037
_cell_length_b 5.878
_cell_length_c 5.875
_cell_angle_alpha 90.00
_cell_angle_beta 90.00
_cell_angle_gamma 90.00
loop_
_atom_site_label
_atom_site_type_symbol
_atom_site_fract_x
_atom_site_fract_y
_atom_site_fract_z
_atom_site_occupancy
Sr1 Sr 0.000 0.000 0.000 1
Sr2 Sr 0.000 0.500 0.498 1
Mg1 Mg 0.500 0.500 0.996 1
Cd1 Cd 0.500 0.000 0.501 1
# E: -1.6565 eV/atom
# energy relative to the elements: -18 kJ/mol of atoms
# ΔE to the lowest computed polymorph: 4 meV/atom

(3)
# Sr2Mg5Cd3, relaxed, DFT PBE-GGA
data_Sr2Mg5Cd3
_chemical_formula_sum 'Sr8 Mg20 Cd12'
_symmetry_space_group_name_H-M 'I b a m'
_symmetry_Int_Tables_number 72
_symmetry_space_group_name_Hall '-I 2 2c'
_cell_length_a 12.912
_cell_length_b 13.393
_cell_length_c 6.516
_cell_angle_alpha 90.00
_cell_angle_beta 90.00
_cell_angle_gamma 90.00
loop_
_atom_site_label
_atom_site_type_symbol
_atom_site_fract_x
_atom_site_fract_y
_atom_site_fract_z
_atom_site_occupancy
Sr1 Sr 0.131 0.243 0.000 1
Mg1 Mg 0.000 0.000 0.250 1
Mg2 Mg 0.113 0.356 0.500 1
Mg3 Mg 0.248 0.500 0.250 1
Cd1 Cd 0.000 0.500 0.250 1
Cd2 Cd 0.124 0.142 0.500 1
# E: -1.5545 eV/atom
# energy relative to the elements: -14 kJ/mol of atoms

(4)
# SrTbMg2Cd4, relaxed, DFT PBE-GGA
data_SrTbMg2Cd4
_chemical_formula_sum 'Sr3 Tb3 Mg6 Cd12'
_symmetry_space_group_name_H-M 'R -3 m'
_symmetry_Int_Tables_number 166
_symmetry_space_group_name_Hall '-R 3 2"'
_cell_length_a 5.1845
_cell_length_b 5.1845
_cell_length_c 25.8338
_cell_angle_alpha 90.00
_cell_angle_beta 90.00
_cell_angle_gamma 120.00
loop_
_atom_site_label
_atom_site_type_symbol
_atom_site_fract_x
_atom_site_fract_y
_atom_site_fract_z
_atom_site_occupancy
Sr1 Sr 0.0000 0.0000 0.0000 1
Tb1 Tb 0.0000 0.0000 0.5000 1
Mg1 Mg 0.0000 0.0000 0.2474 1
Cd1 Cd 0.0000 0.0000 0.1273 1
Cd2 Cd 0.0000 0.0000 0.3797 1
# E: -1.9170 eV/atom
# energy relative to the elements: -26 kJ/mol of atoms